Entry 1:
Tb2CuBr (PBE, optimized geometry); energy relative to the lowest polymorph listed for this composition = 23 meV/atom; crystal system = trigonal; space-group type = R3m
1.0
1.9780 1.1420 7.6394
-1.9780 1.1420 7.6394
0.0000 -2.2841 7.6394
Tb Cu Br
2 1 1
Direct
0.0000 0.0000 0.0000
0.1954 0.1954 0.1954
0.5983 0.5983 0.5983
0.4296 0.4296 0.4296


Entry 2:
HfNb2Si (PBE, optimized geometry); crystal system = orthorhombic; space-group type = Cmcm
1.0
1.7826 -4.9863 0.0000
1.7826 4.9863 0.0000
0.0000 0.0000 8.1842
Hf Nb Si
2 4 2
Direct
0.0465 0.9535 0.7500
0.9535 0.0465 0.2500
0.3566 0.6434 0.5485
0.3566 0.6434 0.9515
0.6434 0.3566 0.0485
0.6434 0.3566 0.4515
0.2397 0.7603 0.2500
0.7603 0.2397 0.7500


Number 1: formation energy (no corrections) -0.61 eV per atom. Number 2: formation energy (no corrections) -0.48 eV per atom.